Material: Sr3Li
Method: DFT, PBEsol
State: optimized geometry

It has space group P4/mmm (No. 123), with a = 6.223 Å, b = 6.223 Å, c = 4.681 Å, α = 90.00°, β = 90.00° and γ = 90.00°. The asymmetric unit holds Sr at (0.000, 0.000, 0.000), Sr at (0.000, 0.500, 0.500) and Li at (0.500, 0.500, 0.000).

The energy above the lowest structure with this stoichiometry comes out at 12 kJ/mol of formula units. The density of states at the Fermi level comes out at 0.892 states/eV per atom. The formation energy is 27.5 kJ/mol of formula units.

---

Material: CuPtAu2
Method: DFT, PBEsol
State: optimized geometry

It has space group C2/m (No. 12), with a = 9.129 Å, b = 2.839 Å, c = 4.798 Å, α = 90.00°, β = 102.04° and γ = 90.00°. The asymmetric unit holds Cu at (0.000, 0.000, 0.000), Pt at (0.000, 0.500, 0.500) and Au at (0.245, 0.500, 0.244).

The energy above the lowest structure with this stoichiometry comes out at 22 kJ/mol of formula units. The density of states at the Fermi level comes out at 0.391 states/eV per atom. The formation energy is 4.8 kJ/mol of formula units.

---

Material: TaBe2Al
Method: DFT, PBEsol
State: optimized geometry

It has space group I-4m2 (No. 119), with a = 3.483 Å, b = 3.483 Å, c = 8.442 Å, α = 90.00°, β = 90.00° and γ = 90.00°. The asymmetric unit holds Ta at (0.000, 0.000, 0.000), Be at (0.000, 0.000, 0.500), Be at (0.000, 0.500, 0.750) and Al at (0.000, 0.500, 0.250).

The density of states at the Fermi level comes out at 0.565 states/eV per atom. The formation energy is 32.8 kJ/mol of formula units.

---

Material: Ca5VN5
Method: DFT, PBEsol
State: optimized geometry

It has space group Pbcm (No. 57), with a = 5.981 Å, b = 16.452 Å, c = 6.710 Å, α = 90.00°, β = 90.00° and γ = 90.00°. The asymmetric unit holds Ca at (0.014, 0.237, 0.250), Ca at (0.210, 0.075, 0.008), Ca at (0.311, 0.582, 0.250), Ca at (0.454, 0.750, 0.000), V at (0.212, 0.594, 0.750), N at (0.016, 0.511, 0.750), N at (0.139, 0.655, 0.530), N at (0.365, 0.174, 0.250) and N at (0.493, 0.552, 0.750).

The density of states at the Fermi level comes out at 0.000 states/eV per atom. The total energy comes out at -305.211 eV per cell.

---

Material: Li3BiN
Method: DFT, PBEsol
State: optimized geometry

It has space group Pm-3m (No. 221), with a = 5.301 Å, b = 5.301 Å, c = 5.301 Å, α = 90.00°, β = 90.00° and γ = 90.00°. The asymmetric unit holds Li at (0.000, 0.000, 0.500), Bi at (0.000, 0.000, 0.000) and N at (0.500, 0.500, 0.500).

The energy above the lowest structure with this stoichiometry comes out at 461 kJ/mol of formula units. The density of states at the Fermi level comes out at 0.004 states/eV per atom.

---

Material: FeMo2Ir
Method: DFT, PBEsol
State: optimized geometry

It has space group Pmmm (No. 47), with a = 2.703 Å, b = 3.757 Å, c = 5.377 Å, α = 90.00°, β = 90.00° and γ = 90.00°. The asymmetric unit holds Fe at (0.000, 0.000, 0.000), Mo at (0.500, 0.500, 0.238) and Ir at (0.000, 0.000, 0.500).

The energy above the lowest structure with this stoichiometry comes out at 0 kJ/mol of formula units. The density of states at the Fermi level comes out at 0.968 states/eV per atom. The formation energy is -29.0 kJ/mol of formula units.

---

Material: Bi3MoH
Method: DFT, PBEsol
State: optimized geometry

It has space group Pm-3m (No. 221), with a = 4.773 Å, b = 4.773 Å, c = 4.773 Å, α = 90.00°, β = 90.00° and γ = 90.00°. The asymmetric unit holds Bi at (0.000, 0.000, 0.500), Mo at (0.500, 0.500, 0.500) and H at (0.000, 0.000, 0.000).

The density of states at the Fermi level comes out at 0.565 states/eV per atom. The total energy comes out at -23.695 eV per cell.

---

Material: BeTe2Cl
Method: DFT, PBEsol
State: optimized geometry

It has space group Cm (No. 8), with a = 13.600 Å, b = 3.073 Å, c = 6.157 Å, α = 90.00°, β = 91.71° and γ = 90.00°. The asymmetric unit holds Be at (0.000, 0.000, 0.000), Te at (0.134, 0.500, 0.759), Te at (0.136, 0.500, 0.253) and Cl at (0.401, 0.000, 0.996).

The energy above the lowest structure with this stoichiometry comes out at 0 kJ/mol of formula units. The density of states at the Fermi level comes out at 0.394 states/eV per atom.

---

Material: SrSb2O6
Method: DFT, PBEsol
State: optimized geometry

It has space group P-31m (No. 162), with a = 5.3057 Å, b = 5.3057 Å, c = 5.3671 Å, α = 90.00°, β = 90.00° and γ = 120.00°. The asymmetric unit holds Sr at (0.0000, 0.0000, 0.0000), Sb at (0.3333, 0.6667, 0.5000) and O at (0.0000, 0.3764, 0.7082).

The density of states at the Fermi level comes out at 0.000 states/eV per atom. The total energy comes out at -59.941 eV per cell.

---

Material: LiScP2O
Method: DFT, PBEsol
State: optimized geometry

It has space group P4/mmm (No. 123), with a = 4.525 Å, b = 4.525 Å, c = 3.380 Å, α = 90.00°, β = 90.00° and γ = 90.00°. The asymmetric unit holds Li at (0.000, 0.000, 0.000), Sc at (0.500, 0.500, 0.500), P at (0.000, 0.500, 0.000) and O at (0.000, 0.000, 0.500).

The density of states at the Fermi level comes out at 0.760 states/eV per atom. The total energy comes out at -26.641 eV per cell.

---

Material: KTiC2S
Method: DFT, PBEsol
State: optimized geometry

It has space group P4/mmm (No. 123), with a = 4.165 Å, b = 4.165 Å, c = 8.055 Å, α = 90.00°, β = 90.00° and γ = 90.00°. The asymmetric unit holds K at (0.000, 0.000, 0.000), Ti at (0.000, 0.000, 0.500), C at (0.000, 0.500, 0.000) and S at (0.500, 0.500, 0.500).

The density of states at the Fermi level comes out at 1.229 states/eV per atom. The total energy comes out at -16.162 eV per cell.

---

Material: TlTe2Au
Method: DFT, PBEsol
State: optimized geometry

It has space group Pmmm (No. 47), with a = 3.254 Å, b = 4.056 Å, c = 8.292 Å, α = 90.00°, β = 90.00° and γ = 90.00°. The asymmetric unit holds Tl at (0.000, 0.000, 0.000), Te at (0.500, 0.500, 0.278) and Au at (0.500, 0.000, 0.500).

The density of states at the Fermi level comes out at 0.526 states/eV per atom. The total energy comes out at -13.909 eV per cell.

---

Material: TaMo5
Method: DFT, PBEsol
State: optimized geometry

It has space group F-43m (No. 216), with a = 7.304 Å, b = 7.304 Å, c = 7.304 Å, α = 90.00°, β = 90.00° and γ = 90.00°. The asymmetric unit holds Ta at (0.000, 0.000, 0.000), Mo at (0.125, 0.125, 0.625) and Mo at (0.250, 0.250, 0.250).

The energy above the lowest structure with this stoichiometry comes out at 185 kJ/mol of formula units. The density of states at the Fermi level comes out at 1.569 states/eV per atom. The formation energy is 135.9 kJ/mol of formula units.